(1)
## MoO (PBE with a Hubbard U)

Data for a relaxed MoO crystal.

## Properties
Raw total energy (eV/cell): -74.39
DOS(E_F) (states/eV/f.u.): 0.94
Theoretical density (g/cm3): 4.49
Energy above the lowest structure with this stoichiometry (eV per atom): 0.511

The structure in POSCAR format:
```
MoO
1.0
6.285 0.000 0.000
0.000 6.285 0.000
0.000 0.000 6.285
Mo O
6 6
Cartesian
1.571 3.143 0.000 Mo
4.714 3.143 0.000 Mo
3.143 0.000 1.571 Mo
3.143 0.000 4.714 Mo
0.000 1.571 3.143 Mo
0.000 4.714 3.143 Mo
1.571 0.000 3.143 O
4.714 0.000 3.143 O
0.000 3.143 1.571 O
0.000 3.143 4.714 O
3.143 1.571 0.000 O
3.143 4.714 0.000 O
```

(2)
## MoO4 (PBE with a Hubbard U)

Data for a relaxed MoO4 crystal.

## Properties
Raw total energy (eV/cell): -29.54
DOS(E_F) (states/eV/f.u.): 4.67
Theoretical density (g/cm3): 3.38
Energy above the lowest structure with this stoichiometry (eV per atom): 0.598

The structure in POSCAR format:
```
MoO4
1.0
4.282 0.000 0.000
0.000 4.282 0.000
0.000 0.000 4.282
Mo O
1 4
Cartesian
0.000 0.000 0.000 Mo
1.042 3.240 3.240 O
3.240 1.042 3.240 O
3.240 3.240 1.042 O
1.042 1.042 1.042 O
```

(3)
## MoO3 (PBE with a Hubbard U)

Data for a relaxed MoO3 crystal.

## Properties
Raw total energy (eV/cell): -107.06
DOS(E_F) (states/eV/f.u.): 0.16
Theoretical density (g/cm3): 4.35

The structure in POSCAR format:
```
MoO3
1.0
5.378 0.000 0.000
0.000 5.500 0.802
0.000 2.965 7.860
Mo O
4 12
Cartesian
1.338 4.732 0.848 Mo
4.040 1.982 0.447 Mo
3.854 5.518 4.521 Mo
1.524 2.768 4.120 Mo
2.292 6.646 4.238 O
2.631 3.380 0.910 O
3.745 5.195 6.291 O
1.633 2.445 5.890 O
2.747 0.630 0.508 O
3.086 3.895 3.837 O
0.417 4.634 4.155 O
4.805 1.307 2.396 O
5.336 6.248 8.284 O
0.042 3.498 7.883 O
0.573 4.057 2.797 O
4.961 1.883 3.754 O
```

(4)
## MoO4 (PBE with a Hubbard U)

Data for a relaxed MoO4 crystal.

## Properties
Raw total energy (eV/cell): -60.76
DOS(E_F) (states/eV/f.u.): 0.24
Theoretical density (g/cm3): 3.13
Energy above the lowest structure with this stoichiometry (eV per atom): 0.429

The structure in POSCAR format:
```
MoO4
1.0
6.812 2.876 0.093
-6.812 2.876 0.093
0.000 2.692 4.410
Mo O
2 8
Cartesian
5.491 3.549 1.195 Mo
-5.491 4.896 3.400 Mo
-2.337 5.064 1.570 O
2.337 3.381 3.026 O
2.337 6.410 3.775 O
-2.337 2.035 0.821 O
0.646 5.348 0.960 O
-0.646 3.097 3.635 O
-0.646 6.694 3.165 O
0.646 1.751 1.430 O
```

Q: What is the DOS(E_F) in the first record?
A: 0.94 states/eV/f.u.

Q: Among the records above, which one has the highest DOS(E_F)?
A: number 2

Copy entry 2 word for word.
## MoO4 (PBE with a Hubbard U)

Data for a relaxed MoO4 crystal.

## Properties
Raw total energy (eV/cell): -29.54
DOS(E_F) (states/eV/f.u.): 4.67
Theoretical density (g/cm3): 3.38
Energy above the lowest structure with this stoichiometry (eV per atom): 0.598

The structure in POSCAR format:
```
MoO4
1.0
4.282 0.000 0.000
0.000 4.282 0.000
0.000 0.000 4.282
Mo O
1 4
Cartesian
0.000 0.000 0.000 Mo
1.042 3.240 3.240 O
3.240 1.042 3.240 O
3.240 3.240 1.042 O
1.042 1.042 1.042 O
```

Q: Which formula does entry 1 have?
A: MoO